The following is a PBE calculation of a geometry-optimized BaIn4IrRh2 structure, from Alexandria via LeMat-Bulk.

As for the formation enthalpy at 0 K: -0.32 eV/atom. The magnetic moment is 0.00 μB/atom.

It has space group R-3m (No. 166, hexagonal axes), with a = 4.5559 Å, b = 4.5559 Å, c = 30.7693 Å, α = 90.00°, β = 90.00° and γ = 120.00°. The asymmetric unit holds Ba at (0.0000, 0.0000, 0.0000), In at (0.0000, 0.0000, 0.1343), In at (0.0000, 0.0000, 0.4089), Ir at (0.0000, 0.0000, 0.5000) and Rh at (0.0000, 0.0000, 0.2259).